# 1
# LuCu

LuCu after structural relaxation (PBE-GGA, the Open Quantum Materials Database).

energy of formation: 0.52 eV per atom
spin magnetization: 0.0 μB per formula unit
final energy: -28.8 eV per cell
crystal system: cubic

a b c (Å): 6.068 6.068 6.068
angles (deg): 90.00 90.00 90.00
Fractional positions:
Lu (0.000, 0.000, 0.000)
Lu (0.000, 0.500, 0.500)
Lu (0.500, 0.000, 0.500)
Lu (0.500, 0.500, 0.000)
Cu (0.250, 0.250, 0.250)
Cu (0.250, 0.750, 0.750)
Cu (0.750, 0.250, 0.750)
Cu (0.750, 0.750, 0.250)



# 2
# CdGeO3

CdGeO3 after structural relaxation (PBE-GGA, the Open Quantum Materials Database).

final energy: -26.1 eV per cell
crystal system: tetragonal

a b c (Å): 3.737 3.737 3.760
angles (deg): 90.00 90.00 90.00
Fractional positions:
Cd (0.000, 0.000, 0.000)
Ge (0.500, 0.500, 0.502)
O (0.000, 0.500, 0.501)
O (0.500, 0.000, 0.501)
O (0.500, 0.500, 0.002)



# 3
# YGaAg2O4

YGaAg2O4 after structural relaxation (PBE-GGA, the Open Quantum Materials Database).

spin magnetization: 0.0 μB per formula unit
final energy: -48.0 eV per cell
crystal system: trigonal

a b c (Å): 3.242 3.242 12.581
angles (deg): 90.00 90.00 120.00
Fractional positions:
Y (0.000, 0.000, 0.000)
Ga (0.000, 0.000, 0.500)
Ag (0.333, 0.667, 0.741)
Ag (0.667, 0.333, 0.259)
O (0.333, 0.667, 0.574)
O (0.333, 0.667, 0.906)
O (0.667, 0.333, 0.094)
O (0.667, 0.333, 0.426)



# 4
# GaTcI3

GaTcI3 after structural relaxation (PBE-GGA, the Open Quantum Materials Database).

spin magnetization: 4.5 μB per formula unit
final energy: -30.5 eV per cell
crystal system: tetragonal

a b c (Å): 7.923 7.923 7.923
angles (deg): 116.58 116.58 96.04
Fractional positions:
Ga (0.000, 0.000, 0.000)
Ga (0.500, 0.500, 0.000)
Tc (0.250, 0.750, 0.500)
Tc (0.750, 0.250, 0.500)
I (0.153, 0.653, 0.806)
I (0.250, 0.250, 0.000)
I (0.347, 0.153, 0.500)
I (0.653, 0.847, 0.500)
I (0.750, 0.750, 0.000)
I (0.847, 0.347, 0.194)